No. 1
## ErPu2CoN4 (PBE-GGA)

Data for a relaxed structure of ErPu2CoN4.

Structure (extended XYZ):
```
16
Lattice="-2.917 1.646 -0.331 -0.063 -2.498 5.245 4.748 9.315 4.494" Properties=species:S:1:pos:R:3 pbc="T T T"
Er 3.235 6.627 4.460
Er -1.467 1.836 4.948
Pu 1.525 3.959 6.256
Pu -1.583 0.923 1.423
Pu 0.243 4.504 3.151
Pu 3.350 7.540 7.984
Co 1.051 6.652 6.715
Co 0.717 1.811 2.692
N -0.255 0.203 3.254
N 0.771 5.804 4.969
N 2.022 8.260 6.154
N 0.997 2.659 4.439
N 2.374 4.657 2.247
N 0.000 0.000 0.000
N 2.178 5.464 7.986
N -0.410 2.999 1.422
```

Its total energy is -10.243 eV per atom. Its magnetization is 6.0 μB per formula unit. The mass density is 12.0 Mg/m³. The value obtained for the volume is 13.31 Å³/atom.



No. 2
## NaEr3Co (PBE-GGA)

Data for a relaxed structure of NaEr3Co.

Structure (extended XYZ):
```
5
Lattice="-2.181 3.226 3.513 2.958 -2.116 3.779 3.742 3.552 -0.939" Properties=species:S:1:pos:R:3 pbc="T T T"
Na 2.259 2.331 3.176
Co 0.000 0.000 0.000
Er 1.479 -1.058 1.889
Er 1.871 1.776 -0.470
Er -1.090 1.613 1.757
```

Its total energy is -4.420 eV per atom. Its magnetization is 0.0 μB per formula unit. The mass density is 6.7 Mg/m³. The value obtained for the volume is 28.85 Å³/atom.



No. 3
## NaErCo4 (PBE-GGA)

Data for a relaxed structure of NaErCo4.

Structure (extended XYZ):
```
6
Lattice="-1.834 1.970 4.221 -0.435 -2.835 4.103 3.020 0.783 3.915" Properties=species:S:1:pos:R:3 pbc="T T T"
Na 0.000 0.000 0.000
Co -1.038 -0.442 5.693
Co 0.687 1.364 5.599
Co 0.470 -0.051 7.648
Co 1.385 -1.035 5.540
Er 0.188 -0.021 3.060
```

Its total energy is -5.626 eV per atom. Its magnetization is 5.6 μB per formula unit. The mass density is 8.0 Mg/m³. The value obtained for the volume is 14.79 Å³/atom.